Entry 1:
SbOs2Ru | GGA-PBEsol | optimized geometry

Unit cell a=2.8731 b=4.5779 c=4.6727 alpha=90.00 beta=90.00 gamma=90.00
Closest atoms and distances in Å follow each position.
Space group Pmmm (No. 47)
Symmetry-distinct sites (fractional):
Sb: 0.0000 0.0000 0.0000 [1 per cell]  4 Ru 2.70, 4 Os 2.74, 2 Sb 2.87
Os: 0.0000 0.5000 0.5000 [1 per cell]  6 Os 2.70-2.87, 4 Ru 2.74
Os: 0.5000 0.0000 0.5000 [1 per cell]  6 Os 2.70-2.87, 4 Sb 2.74
Ru: 0.5000 0.5000 0.0000 [1 per cell]  4 Sb 2.70, 4 Os 2.74, 2 Ru 2.87

Results
crystal system	orthorhombic

---

Entry 2:
SbOs2Ru | GGA-PBEsol | optimized geometry

Unit cell a=2.8407 b=4.0162 c=5.5924 alpha=90.00 beta=104.79 gamma=90.00
Closest atoms and distances in Å follow each position.
Space group Pm (No. 6)
Symmetry-distinct sites (fractional):
Sb: 0.0000 0.0000 0.0000 [1 per cell]  3 Os 2.63, 4 Ru 2.69, 2 Sb 2.84
Os: 0.1552 0.5000 0.3148 [1 per cell]  1 Ru 2.61, 2 Sb 2.63, 6 Os 2.68-2.84
Os: 0.7548 0.0000 0.5139 [1 per cell]  1 Sb 2.63, 6 Os 2.68-2.84, 4 Ru 2.90
Ru: 0.3972 0.5000 0.7977 [1 per cell]  5 Os 2.61-2.90, 4 Sb 2.69, 2 Ru 2.84

Results
crystal system	monoclinic

---

Entry 3:
SbOs2Ru | GGA-PBEsol | optimized geometry

Unit cell a=2.8133 b=4.8582 c=9.4580 alpha=90.00 beta=90.00 gamma=90.00
Closest atoms and distances in Å follow each position.
Space group Cmmm (No. 65)
Symmetry-distinct sites (fractional):
Sb: 0.0000 0.0000 0.0000 [2 per cell]  6 Sb 2.81, 4 Os 2.92
Os: 0.0000 0.5000 0.2711 [4 per cell]  2 Ru 2.58, 6 Os 2.81
Ru: 0.0000 0.0000 0.5000 [2 per cell]  4 Os 2.58, 6 Ru 2.81

Results
crystal system	orthorhombic

---

Entry 4:
SbOsRu3 | GGA-PBEsol | optimized geometry

Unit cell a=4.6361 b=4.6361 c=4.6361 alpha=90.00 beta=90.00 gamma=90.00
Closest atoms and distances in Å follow each position.
Space group Pm-3m (No. 221)
Symmetry-distinct sites (fractional):
Sb: 0.0000 0.0000 0.0000 [1 per cell]  12 Ru 3.28
Os: 0.5000 0.5000 0.5000 [1 per cell]  6 Ru 2.32
Ru: 0.0000 0.5000 0.5000 [3 per cell]  2 Os 2.32

Results
crystal system	cubic

---

Record order is preserved below.
DOS(E_F): 1.331, 0.805, 1.495, 1.408 states/eV per atom
Record order is preserved below.
Uncorrected formation energy: 628, 419, 993, 1643 meV per atom
Record order is preserved below.
Raw total energy: -9.16, -9.37, -8.80, -7.82 eV per atom